This record from the Alexandria database describes an optimized crystal structure of ThAl2Au3. The functional is PBE.

```
12
Lattice="5.4533 0.0000 0.0000 0.0000 6.7344 0.0722 0.0000 -1.2821 6.6116" Properties=species:S:1:pos:R:3 pbc="T T T"
Au 4.0899 3.0164 0.8339
Au 1.3633 5.1525 6.3164
Au 1.3633 2.4359 5.8499
Au 4.0899 0.2110 3.1224
Au 1.3633 5.2413 3.5614
Au 4.0899 0.2997 0.3674
Th 4.0899 3.7739 4.6263
Th 1.3633 1.6784 2.0575
Al 2.7266 0.4200 5.2231
Al 0.0000 0.4200 5.2231
Al 2.7266 5.0323 1.4607
Al 0.0000 5.0323 1.4607
```

Computed properties:
* excess energy over the best structure of this formula in the dataset: 0.00 kcal/mol of atoms
* E_form: -0.57 eV/atom


This record from the Alexandria database describes an optimized crystal structure of Th4AlAu3. The functional is PBE.

```
8
Lattice="-1.1480 -1.2300 3.4494 4.1580 -1.7017 0.7771 3.3533 10.3959 4.8230" Properties=species:S:1:pos:R:3 pbc="T T T"
Au 2.5591 9.0983 6.2310
Au 1.4182 4.3967 2.0398
Au 4.0074 5.1275 3.1622
Th 1.6060 6.1434 4.8601
Th 4.9177 7.9497 4.4715
Th 0.5149 1.5961 0.7405
Th 2.6684 2.1408 3.7865
Al 1.7415 -0.7327 2.4534
```

Computed properties:
* E_form: -0.53 eV/atom


This record from the Alexandria database describes an optimized crystal structure of ThAl2Au. The functional is PBE.

```
4
Lattice="4.4380 0.0000 0.0000 0.0000 4.4452 0.0000 0.0000 0.0000 4.4452" Properties=species:S:1:pos:R:3 pbc="T T T"
Au 2.2190 0.0000 0.0000
Al 0.0000 2.2226 0.0000
Al 0.0000 0.0000 2.2226
Th 2.2190 2.2226 2.2226
```

Computed properties:
* E_form: -0.35 eV/atom


This record from the Alexandria database describes an optimized crystal structure of ThAl2Au9. The functional is PBE.

```
24
Lattice="-5.3623 -1.2807 4.1927 1.9920 -5.6219 6.5514 -0.4894 5.6375 6.8172" Properties=species:S:1:pos:R:3 pbc="T T T"
Th -2.6811 -0.6404 2.0964
Th -0.5893 -0.3124 7.7324
Al -3.3204 -3.9277 10.2864
Al -4.3164 -1.1167 7.0108
Al -4.5611 1.7020 10.4193
Al -0.8839 -0.4686 11.5987
Au -0.5904 1.2022 4.8797
Au -3.4524 0.3936 12.4144
Au -0.8493 -2.5749 10.0228
Au -2.8443 -2.3659 12.3492
Au -2.0068 3.1588 6.5264
Au -1.7531 1.5259 10.1196
Au 0.0000 0.0000 0.0000
Au 0.0177 -1.5573 4.8145
Au -3.4355 1.2082 7.8708
Au -3.2704 -0.9528 9.8288
Au 1.2533 -3.6821 8.6062
Au -4.2859 0.1479 15.0408
Au -2.6800 -2.1550 4.9491
Au -3.2882 0.6045 5.0143
Au -0.3243 3.4764 8.7752
Au -2.5317 -2.8926 7.7740
Au -0.4292 -3.9998 6.3574
Au -3.6778 -2.6115 14.9757
```

Computed properties:
* E_form: -0.34 eV/atom


What did the third record say?
This record from the Alexandria database describes an optimized crystal structure of ThAl2Au. The functional is PBE.

```
4
Lattice="4.4380 0.0000 0.0000 0.0000 4.4452 0.0000 0.0000 0.0000 4.4452" Properties=species:S:1:pos:R:3 pbc="T T T"
Au 2.2190 0.0000 0.0000
Al 0.0000 2.2226 0.0000
Al 0.0000 0.0000 2.2226
Th 2.2190 2.2226 2.2226
```

Computed properties:
* E_form: -0.35 eV/atom